Record 1
{"formula": "Tb3NiHg2", "functional": "PBE", "state": "optimized geometry", "lattice": [[5.900, 0.000, 0.000], [0.000, 7.606, 0.001], [-2.950, -1.902, 7.109]], "species": ["Tb", "Tb", "Tb", "Tb", "Tb", "Tb", "Ni", "Ni", "Hg", "Hg", "Hg", "Hg"], "fractional_positions": [[0.498, 0.250, 0.000], [0.502, 0.750, 0.000], [0.131, 0.064, 0.260], [0.870, 0.436, 0.740], [0.130, 0.564, 0.260], [0.869, 0.936, 0.740], [0.002, 0.750, 0.000], [0.998, 0.250, 0.000], [0.689, 0.596, 0.379], [0.690, 0.096, 0.379], [0.310, 0.904, 0.621], [0.311, 0.404, 0.621]], "total_magnetization_mub_per_fu": 0.00, "space_group": "C2/c (15)", "delta_e_f_ev_per_atom": -0.32, "dos_at_fermi_per_ev_atom": 0.90, "energy_ev_per_atom": -3.70, "vol_a3_per_cell": 319.06}

***

Record 2
{"formula": "BaCd2Mo", "functional": "PBE", "state": "optimized geometry", "lattice": [[-5.090, -1.438, -1.109], [0.067, -3.500, 4.117], [1.232, 5.195, 0.834]], "species": ["Ba", "Cd", "Cd", "Mo"], "fractional_positions": [[0.750, 0.250, 0.500], [0.000, 0.000, 0.000], [0.250, 0.750, 0.500], [0.500, 0.500, 0.000]], "total_magnetization_mub_per_fu": 3.97, "e_above_lowest_polymorph_ev_per_atom": 0.246, "space_group": "I-4m2 (119)", "delta_e_f_ev_per_atom": 0.70, "dos_at_fermi_per_ev_atom": 0.42, "energy_ev_per_atom": -2.94, "vol_a3_per_cell": 111.35}

***

Q: What is the formula in the second record?
A: BaCd2Mo

***

What did the second record say?
{"formula": "BaCd2Mo", "functional": "PBE", "state": "optimized geometry", "lattice": [[-5.090, -1.438, -1.109], [0.067, -3.500, 4.117], [1.232, 5.195, 0.834]], "species": ["Ba", "Cd", "Cd", "Mo"], "fractional_positions": [[0.750, 0.250, 0.500], [0.000, 0.000, 0.000], [0.250, 0.750, 0.500], [0.500, 0.500, 0.000]], "total_magnetization_mub_per_fu": 3.97, "e_above_lowest_polymorph_ev_per_atom": 0.246, "space_group": "I-4m2 (119)", "delta_e_f_ev_per_atom": 0.70, "dos_at_fermi_per_ev_atom": 0.42, "energy_ev_per_atom": -2.94, "vol_a3_per_cell": 111.35}